# PBE La4AgCI2, optimized geometry
# Volume, Å³ per atom: 31.32
# Uncorrected energy, eV per formula unit: -39.7
# Total magnetization, μB/f.u.: 0.00
# Uncorrected formation energy, kJ/mol of atoms: -58.4
data_La4AgCI2
_symmetry_space_group_name_H-M 'P 1'
_symmetry_Int_Tables_number 1
_cell_length_a 4.112
_cell_length_b 8.183
_cell_length_c 7.752
_cell_angle_alpha 73.86
_cell_angle_beta 90.00
_cell_angle_gamma 90.00
loop_
_symmetry_equiv_pos_as_xyz
'x,y,z'
loop_
_atom_site_label
_atom_site_fract_x
_atom_site_fract_y
_atom_site_fract_z
_atom_site_occupancy
La1 0.000 0.693 0.715 1
La2 0.000 0.307 0.285 1
La3 0.500 0.679 0.309 1
La4 0.500 0.321 0.691 1
Ag1 0.500 0.500 0.000 1
C1 0.000 0.500 0.500 1
I1 0.000 0.000 0.000 1
I2 0.500 0.000 0.500 1